# 1
# Y2TmSe3 | the Alexandria database | PBE-GGA | relaxed
data_Y2TmSe3
_cell_length_a 4.0839
_cell_length_b 5.7269
_cell_length_c 12.1718
_cell_angle_alpha 90.00
_cell_angle_beta 90.00
_cell_angle_gamma 90.00
_symmetry_space_group_name_H-M 'I m m m'
_symmetry_Int_Tables_number 71
_symmetry_space_group_name_Hall '-I 2 2'
loop_
_atom_site_label
_atom_site_type_symbol
_atom_site_fract_x
_atom_site_fract_y
_atom_site_fract_z
Y1 Y 0.0000 0.0000 0.1710
Tm1 Tm 0.0000 0.0000 0.5000
Se1 Se 0.0000 0.5000 0.1617
Se2 Se 0.0000 0.5000 0.5000
# ΔE_f (raw) ... -1.728 eV/atom
# V ... 285 Å³ per cell
# Total DFT energy (no corrections) ... -6.37 eV/atom


# 2
# Y2TmSe | the Alexandria database | PBE-GGA | relaxed
data_Y2TmSe
_cell_length_a 3.7192
_cell_length_b 3.7192
_cell_length_c 30.6329
_cell_angle_alpha 90.00
_cell_angle_beta 90.00
_cell_angle_gamma 120.00
_symmetry_space_group_name_H-M 'R -3 m'
_symmetry_Int_Tables_number 166
_symmetry_space_group_name_Hall '-R 3 2"'
loop_
_atom_site_label
_atom_site_type_symbol
_atom_site_fract_x
_atom_site_fract_y
_atom_site_fract_z
Y1 Y 0.0000 0.0000 0.1079
Tm1 Tm 0.0000 0.0000 0.0000
Se1 Se 0.0000 0.0000 0.5000
# ΔE_f (raw) ... -0.545 eV/atom
# V ... 367 Å³ per cell
# E above lowest polymorph ... 280 meV/atom
# Total DFT energy (no corrections) ... -5.77 eV/atom


# 3
# Y2Tm3Se6 | the Alexandria database | PBE-GGA | relaxed
data_Y2Tm3Se6
_cell_length_a 6.9919
_cell_length_b 12.0521
_cell_length_c 6.9805
_cell_angle_alpha 90.00
_cell_angle_beta 109.45
_cell_angle_gamma 90.00
_symmetry_space_group_name_H-M 'C 1 2/m 1'
_symmetry_Int_Tables_number 12
loop_
_symmetry_equiv_pos_as_xyz
'x,y,z'
'-x,-y,-z'
'-x,y,-z'
'x,-y,z'
'x+1/2,y+1/2,z'
'-x+1/2,-y+1/2,-z'
'-x+1/2,y+1/2,-z'
'x+1/2,-y+1/2,z'
loop_
_atom_site_label
_atom_site_type_symbol
_atom_site_fract_x
_atom_site_fract_y
_atom_site_fract_z
Y1 Y 0.0000 0.1648 0.0000
Tm1 Tm 0.0000 0.0000 0.5000
Tm2 Tm 0.0000 0.3340 0.5000
Se1 Se 0.2427 0.5000 0.7503
Se2 Se 0.2478 0.3361 0.2525
# ΔE_f (raw) ... -1.838 eV/atom
# V ... 555 Å³ per cell
# Total DFT energy (no corrections) ... -6.13 eV/atom